Entry 1:
# MgCo3 meta-GGA SCAN single point on PBEsol structure
data_MgCo3
_chemical_formula_sum 'Mg1 Co3'
_cell_length_a 2.5912
_cell_length_b 2.5912
_cell_length_c 8.1090
_cell_angle_alpha 90.00
_cell_angle_beta 90.00
_cell_angle_gamma 120.00
_space_group_name_H-M_alt 'P -6 m 2'
_space_group_IT_number 187
_space_group_name_Hall 'P -6 2'
loop_
_atom_site_label
_atom_site_type_symbol
_atom_site_fract_x
_atom_site_fract_y
_atom_site_fract_z
_atom_site_occupancy
Mg1 Mg 0.0000 0.0000 0.0000 1
Co1 Co 0.0000 0.0000 0.5000 1
Co2 Co 0.6667 0.3333 0.2686 1
# Total magnetization, μB/f.u.: 4.94
# Density of states at the Fermi level, states/eV per atom: 0.889
# ΔH_f (0 K), meV per atom: 289.8

---

Entry 2:
# TaIr3Cl meta-GGA SCAN single point on PBEsol structure
data_TaIr3Cl
_chemical_formula_sum 'Ta1 Ir3 Cl1'
_cell_length_a 4.3583
_cell_length_b 4.3583
_cell_length_c 4.3583
_cell_angle_alpha 90.00
_cell_angle_beta 90.00
_cell_angle_gamma 90.00
_space_group_name_H-M_alt 'P m -3 m'
_space_group_IT_number 221
_space_group_name_Hall '-P 4 2 3'
loop_
_atom_site_label
_atom_site_type_symbol
_atom_site_fract_x
_atom_site_fract_y
_atom_site_fract_z
_atom_site_occupancy
Ta1 Ta 0.0000 0.0000 0.0000 1
Ir1 Ir 0.0000 0.5000 0.5000 1
Cl1 Cl 0.5000 0.5000 0.5000 1
# Total magnetization, μB/f.u.: 0.00
# Density of states at the Fermi level, states/eV per atom: 1.424
# E_form (uncorrected), eV per atom: 1.59

---

Entry 3:
# TlSbH3 meta-GGA SCAN single point on PBEsol structure
data_TlSbH3
_chemical_formula_sum 'Tl1 Sb1 H3'
_cell_length_a 4.0655
_cell_length_b 4.0655
_cell_length_c 4.0655
_cell_angle_alpha 90.00
_cell_angle_beta 90.00
_cell_angle_gamma 90.00
_space_group_name_H-M_alt 'P m -3 m'
_space_group_IT_number 221
_space_group_name_Hall '-P 4 2 3'
loop_
_atom_site_label
_atom_site_type_symbol
_atom_site_fract_x
_atom_site_fract_y
_atom_site_fract_z
_atom_site_occupancy
Tl1 Tl 0.0000 0.0000 0.0000 1
Sb1 Sb 0.5000 0.5000 0.5000 1
H1 H 0.0000 0.0000 0.5000 1
# Energy, eV per cell: -115.14
# Total magnetization, μB/f.u.: 0.00
# Density of states at the Fermi level, states/eV per atom: 0.570

---

Entry 4:
# Ta6Mo meta-GGA SCAN single point on PBEsol structure
data_Ta6Mo
_chemical_formula_sum 'Ta18 Mo3'
_cell_length_a 12.1479
_cell_length_b 12.1479
_cell_length_c 2.8322
_cell_angle_alpha 90.00
_cell_angle_beta 90.00
_cell_angle_gamma 120.00
_space_group_name_H-M_alt 'R -3'
_space_group_IT_number 148
_space_group_name_Hall '-R 3'
loop_
_atom_site_label
_atom_site_type_symbol
_atom_site_fract_x
_atom_site_fract_y
_atom_site_fract_z
_atom_site_occupancy
Ta1 Ta 0.0475 0.2361 0.1809 1
Mo1 Mo 0.0000 0.0000 0.5000 1
# E above lowest polymorph, eV per atom: 0.025
# Total magnetization, μB/f.u.: 0.00
# Density of states at the Fermi level, states/eV per atom: 1.140
# ΔH_f (0 K), meV per atom: -43.4